# CdSb2Os

CdSb2Os after structural relaxation (PBE, Alexandria via LeMat-Bulk).

- DOS at the Fermi energy: 3.59 states/eV/f.u.
- SG: No. 12
- Uncorrected formation energy: 651.3 meV/atom

Cell lengths 6.0688, 7.9033, 3.4977 Å; angles 90.00, 90.22, 90.00 degrees
Closest atoms and distances in Å follow each position.
Fractional coordinates of all 8 atoms:
Cd: 0.0000 0.0000 0.0000  2 Os 3.03, 8 Sb 3.04-3.05
Cd: 0.5000 0.5000 0.0000  2 Os 3.03, 8 Sb 3.04-3.05
Sb: 0.2500 0.2500 0.5000  2 Sb 3.03, 4 Cd 3.04-3.05, 4 Os 3.04-3.05
Sb: 0.2500 0.7500 0.5000  2 Sb 3.03, 4 Cd 3.04-3.05, 4 Os 3.04-3.05
Sb: 0.7500 0.2500 0.5000  2 Sb 3.03, 4 Cd 3.04-3.05, 4 Os 3.04-3.05
Sb: 0.7500 0.7500 0.5000  2 Sb 3.03, 4 Os 3.04-3.05, 4 Cd 3.04-3.05
Os: 0.0000 0.5000 0.0000  2 Cd 3.03, 8 Sb 3.04-3.05
Os: 0.5000 0.0000 0.0000  2 Cd 3.03, 8 Sb 3.04-3.05